[1]
DFT (PBE) results for Pm2NdAs3 after structural relaxation.

total magnetization = 0.01 μB/f.u.
E_tot = -6.225 eV per atom
SG = P-3m1 (164)
volume = 27.04 Å³ per atom

```
6
Lattice="4.2438 0.0000 0.0000 -2.1219 3.6752 0.0000 0.0000 0.0000 10.4006" Properties=species:S:1:pos:R:3 pbc="T T T"
As 2.1219 1.2251 6.9504
As 0.0000 0.0000 0.0000
As 0.0000 2.4502 3.4502
Pm 0.0000 2.4502 8.6746
Pm 2.1219 1.2251 1.7260
Nd 0.0000 0.0000 5.2003
```



[2]
DFT (PBE) results for PmNdAs2 after structural relaxation.

total magnetization = 0.00 μB/f.u.
E_tot = -6.223 eV per atom
SG = P4/mmm (123)
volume = 27.16 Å³ per atom

```
4
Lattice="-2.8776 2.3475 2.0694 -2.6515 -0.3360 -3.3061 -2.3504 -4.9898 2.3921" Properties=species:S:1:pos:R:3 pbc="T T T"
Nd 0.0000 0.0000 0.0000
As -1.1752 -2.4949 1.1960
Pm -3.9398 -1.4891 0.5777
As -2.7646 1.0058 -0.6184
```



[3]
DFT (PBE) results for PrNdAs after structural relaxation.

total magnetization = 0.01 μB/f.u.
E_tot = -5.569 eV per atom
SG = F-43m (216)
volume = 29.79 Å³ per atom

```
3
Lattice="-0.6511 -4.8177 1.2454 1.4023 -1.6312 4.5341 -3.4717 -1.2670 3.3952" Properties=species:S:1:pos:R:3 pbc="T T T"
Pr -2.0404 -5.7870 6.8810
As 0.0000 0.0000 0.0000
Nd -0.6801 -1.9290 2.2937
```



[4]
DFT (PBE) results for Pr2NdAs3 after structural relaxation.

total magnetization = 0.00 μB/f.u.
E_tot = -6.217 eV per atom
SG = P-3m1 (164)
volume = 28.00 Å³ per atom

```
6
Lattice="4.2921 0.0000 0.0000 -2.1461 3.7171 0.0000 0.0000 0.0000 10.5282" Properties=species:S:1:pos:R:3 pbc="T T T"
As 2.1461 1.2390 7.0083
Pr 0.0000 2.4781 8.7697
As 0.0000 0.0000 0.0000
Nd 0.0000 0.0000 5.2641
Pr 2.1461 1.2390 1.7585
As 0.0000 2.4781 3.5200
```



[5]
DFT (PBE) results for Pr4NdAs5 after structural relaxation.

total magnetization = 0.02 μB/f.u.
E_tot = -6.217 eV per atom
SG = I4/mmm (139)
volume = 28.05 Å³ per atom

```
10
Lattice="14.9860 -3.9272 0.2148 13.2314 -5.6180 5.7810 -14.8162 2.0150 -4.0585" Properties=species:S:1:pos:R:3 pbc="T T T"
As 14.1087 -4.7726 2.9979
As 19.7507 -6.6811 4.1967
Pr 11.2940 -3.8205 2.3998
Pr 5.6389 -1.9075 1.1982
As 8.4667 -2.8641 1.7990
Nd 0.0000 0.0000 0.0000
Pr 16.9234 -5.7247 3.5959
As 2.8087 -0.9501 0.5968
Pr 22.5785 -7.6377 4.7976
As 25.4087 -8.5951 5.3989
```



[6]
DFT (PBE) results for PrNdAs2Se2 after structural relaxation.

total magnetization = 0.00 μB/f.u.
E_tot = -5.742 eV per atom
SG = P4mm (99)
volume = 24.44 Å³ per atom

```
6
Lattice="-3.7563 1.4383 0.1459 -1.4337 -3.6542 -0.8895 -0.4170 -1.9841 8.8226" Properties=species:S:1:pos:R:3 pbc="T T T"
As -1.8787 0.7164 0.0853
Se -0.2601 -1.2376 5.5033
Se -2.7507 -1.8488 2.9226
Pr -2.8965 -2.5422 6.0059
As -0.7174 -1.8299 -0.4324
Nd -0.1156 -0.5499 2.4452
```



[7]
DFT (PBE) results for NdSmAs2Pt2 after structural relaxation.

ΔE to the lowest computed polymorph = 0.0 meV/atom
total magnetization = 0.00 μB/f.u.
E_tot = -6.395 eV per atom
SG = P6_3/mmc (194)
volume = 21.53 Å³ per atom

```
12
Lattice="4.3433 0.0000 0.0000 -2.1717 3.7614 0.0000 0.0000 0.0000 15.8163" Properties=species:S:1:pos:R:3 pbc="T T T"
As 0.0000 2.5076 1.8959
Pt 0.0000 2.5076 13.6781
Pt 0.0000 2.5076 10.0463
Pt 2.1717 1.2538 5.7700
As 0.0000 2.5076 6.0122
As 2.1717 1.2538 9.8041
Nd 0.0000 0.0000 7.9081
Sm 0.0000 0.0000 3.9541
Nd 0.0000 0.0000 0.0000
As 2.1717 1.2538 13.9203
Pt 2.1717 1.2538 2.1382
Sm 0.0000 0.0000 11.8622
```



[8]
DFT (PBE) results for NdSmAs2Pt2 after structural relaxation.

ΔE to the lowest computed polymorph = 13.7 meV/atom
total magnetization = 0.00 μB/f.u.
E_tot = -6.382 eV per atom
SG = P3m1 (156)
volume = 21.53 Å³ per atom

```
6
Lattice="-1.5067 -3.2713 -2.4124 4.2523 0.3480 0.7671 -0.8144 -4.4396 6.5290" Properties=species:S:1:pos:R:3 pbc="T T T"
Sm -0.4073 -2.2201 3.2649
Pt 2.1332 -1.9457 1.3063
Pt -0.1862 -5.3311 3.4508
As 1.7169 -4.2149 4.6433
Nd -0.8141 -4.4379 6.5265
As 0.1994 -3.2292 0.3598
```